Record 1
Sm2Mg2Ni15 | PBE | optimized geometry

Cell lengths 6.373, 6.373, 6.373 Å; angles 82.68, 82.68, 82.68 degrees
Positions (direct):
Sm 0.150 0.150 0.150
Sm 0.850 0.850 0.850
Mg 0.397 0.397 0.397
Mg 0.603 0.603 0.603
Ni 0.000 0.500 0.500
Ni 0.155 0.155 0.658
Ni 0.155 0.658 0.155
Ni 0.200 0.500 0.800
Ni 0.200 0.800 0.500
Ni 0.342 0.845 0.845
Ni 0.500 0.000 0.500
Ni 0.500 0.200 0.800
Ni 0.500 0.500 0.000
Ni 0.500 0.800 0.200
Ni 0.658 0.155 0.155
Ni 0.800 0.200 0.500
Ni 0.800 0.500 0.200
Ni 0.845 0.342 0.845
Ni 0.845 0.845 0.342

Summary:
The value obtained for the final energy is -103.50 eV/cell. The value obtained for the formation energy from the elements is -218.8 meV/atom. The calculation puts the total magnetic moment at 3.735 μB per cell.



Record 2
CrGeMoRh | PBE | optimized geometry

Cell lengths 4.311, 4.311, 4.311 Å; angles 60.00, 60.00, 60.00 degrees
Positions (direct):
Cr 0.000 0.000 0.000
Ge 0.500 0.500 0.500
Mo 0.750 0.750 0.750
Rh 0.250 0.250 0.250

Summary:
The value obtained for the final energy is -32.79 eV/cell. The value obtained for the formation energy from the elements is -91.8 meV/atom. The calculation puts the total magnetic moment at 1.260 μB per cell.



Record 3
ReSn | PBE | optimized geometry

Cell lengths 4.342, 4.342, 4.342 Å; angles 60.00, 60.00, 60.00 degrees
Positions (direct):
Re 0.000 0.000 0.000
Sn 0.250 0.250 0.250

Summary:
The value obtained for the final energy is -12.73 eV/cell. The value obtained for the formation energy from the elements is 1862.0 meV/atom. The calculation puts the total magnetic moment at 2.056 μB per cell. The excess energy over the best structure of this formula in the dataset comes out at 3.01 eV/f.u.



Record 4
FeBi | PBE | optimized geometry

Cell lengths 7.610, 7.214, 5.398 Å; angles 72.62, 64.78, 42.60 degrees
Positions (direct):
Fe 0.032 0.032 0.218
Fe 0.218 0.218 0.032
Fe 0.782 0.782 0.968
Fe 0.968 0.968 0.782
Bi 0.171 0.579 0.171
Bi 0.421 0.829 0.421
Bi 0.579 0.171 0.579
Bi 0.829 0.421 0.829

Summary:
The value obtained for the final energy is -44.93 eV/cell. The value obtained for the formation energy from the elements is 555.0 meV/atom. The calculation puts the total magnetic moment at 8.567 μB per cell.



Record 5
Tm2Cd2Co | PBE | optimized geometry

Cell lengths 10.087, 10.087, 10.087 Å; angles 161.11, 161.11, 26.84 degrees
Positions (direct):
Tm 0.083 0.083 0.000
Tm 0.917 0.917 0.000
Cd 0.300 0.300 0.000
Cd 0.700 0.700 0.000
Co 0.500 0.500 0.000

Summary:
The value obtained for the final energy is -19.20 eV/cell. The value obtained for the formation energy from the elements is -264.7 meV/atom. The calculation puts the total magnetic moment at 0.374 μB per cell.



Record 6
Ga3AgAu6 | PBE | optimized geometry

Cell lengths 7.486, 7.486, 7.257 Å; angles 90.00, 90.00, 113.54 degrees
Positions (direct):
Ga 0.043 0.957 0.500
Ga 0.144 0.335 0.331
Ga 0.335 0.144 0.831
Ga 0.665 0.856 0.331
Ga 0.856 0.665 0.831
Ga 0.957 0.043 0.000
Ag 0.321 0.679 0.823
Ag 0.679 0.321 0.323
Au 0.032 0.600 0.533
Au 0.086 0.277 0.692
Au 0.277 0.086 0.192
Au 0.309 0.691 0.213
Au 0.400 0.968 0.533
Au 0.481 0.519 0.524
Au 0.519 0.481 0.024
Au 0.600 0.032 0.033
Au 0.691 0.309 0.713
Au 0.723 0.914 0.692
Au 0.914 0.723 0.192
Au 0.968 0.400 0.033

Summary:
The value obtained for the final energy is -65.04 eV/cell. The value obtained for the formation energy from the elements is -92.5 meV/atom. The calculation puts the total magnetic moment at 0.000 μB per cell. The excess energy over the best structure of this formula in the dataset comes out at 0.14 eV/f.u.



Record 7
ZrSbS3 | PBE | optimized geometry

Cell lengths 4.968, 4.968, 4.968 Å; angles 90.00, 90.00, 90.00 degrees
Positions (direct):
Zr 0.000 0.000 0.000
Sb 0.500 0.500 0.500
S 0.000 0.000 0.500
S 0.000 0.500 0.000
S 0.500 0.000 0.000

Summary:
The value obtained for the final energy is -27.11 eV/cell. For the formation energy without anion corrections, the calculation gives -412 meV/atom. The calculation puts the total magnetic moment at 0.000 μB per cell. The excess energy over the best structure of this formula in the dataset comes out at 1.90 eV/f.u.



Record 8
Sc2VRu | PBE | optimized geometry

Cell lengths 5.900, 5.900, 5.900 Å; angles 103.33, 103.33, 122.62 degrees
Positions (direct):
Sc 0.095 0.625 0.970
Sc 0.375 0.345 0.470
Sc 0.655 0.125 0.030
Sc 0.875 0.905 0.530
V 0.250 0.750 0.500
V 0.500 0.500 0.000
Ru 0.000 0.000 0.000
Ru 0.750 0.250 0.500

Summary:
The value obtained for the final energy is -59.40 eV/cell. The value obtained for the formation energy from the elements is 339.3 meV/atom. The calculation puts the total magnetic moment at 4.786 μB per cell. The excess energy over the best structure of this formula in the dataset comes out at 1.96 eV/f.u.



Record 9
NbCr2FeGe | PBE | optimized geometry

Cell lengths 4.631, 4.631, 4.960 Å; angles 90.00, 90.00, 90.00 degrees
Positions (direct):
Nb 0.000 0.000 0.000
Cr 0.000 0.500 0.000
Cr 0.500 0.000 0.000
Fe 0.500 0.500 0.500
Ge 0.000 0.000 0.500

Summary:
The value obtained for the final energy is -34.42 eV/cell. The value obtained for the formation energy from the elements is 1595.6 meV/atom. The calculation puts the total magnetic moment at 8.573 μB per cell.



Record 10
Tb6DySc3 | PBE | optimized geometry

Cell lengths 6.722, 6.722, 6.722 Å; angles 91.31, 91.31, 91.31 degrees
Positions (direct):
Tb 0.000 0.340 0.660
Tb 0.162 0.837 0.500
Tb 0.340 0.660 0.000
Tb 0.500 0.162 0.837
Tb 0.660 0.000 0.340
Tb 0.837 0.500 0.162
Dy 0.999 0.999 0.999
Sc 0.258 0.258 0.258
Sc 0.499 0.499 0.499
Sc 0.739 0.739 0.739

Summary:
The value obtained for the final energy is -49.50 eV/cell. The value obtained for the formation energy from the elements is 188.1 meV/atom. The calculation puts the total magnetic moment at 1.307 μB per cell. The excess energy over the best structure of this formula in the dataset comes out at 0.20 eV/f.u.



Record 11
ZrRh2Se | PBE | optimized geometry

Cell lengths 3.473, 3.473, 5.626 Å; angles 90.00, 90.00, 90.00 degrees
Positions (direct):
Zr 0.000 0.000 0.000
Rh 0.500 0.500 0.250
Rh 0.500 0.500 0.750
Se 0.000 0.000 0.500

Summary:
The value obtained for the final energy is -28.82 eV/cell. For the formation energy without anion corrections, the calculation gives -522 meV/atom. The calculation puts the total magnetic moment at 0.000 μB per cell.



Record 12
TiV2N | PBE | optimized geometry

Cell lengths 4.654, 4.654, 6.853 Å; angles 90.00, 90.00, 142.45 degrees
Positions (direct):
Ti 0.044 0.956 0.750
Ti 0.956 0.044 0.250
V 0.344 0.656 0.559
V 0.344 0.656 0.941
V 0.656 0.344 0.059
V 0.656 0.344 0.441
N 0.247 0.753 0.250
N 0.753 0.247 0.750

Summary:
The value obtained for the final energy is -73.60 eV/cell. For the formation energy without anion corrections, the calculation gives -585 meV/atom. The calculation puts the total magnetic moment at 0.000 μB per cell. The excess energy over the best structure of this formula in the dataset comes out at 1.20 eV/f.u.